No. 1
Here is a relaxed structure of Na2NbCuBr from Alexandria. Energies are from PBE-GGA.

```
Na2NbCuBr
1.0
5.5897 0.0000 0.0000
0.0000 5.5897 0.0000
0.0000 0.0000 4.7285
Na Nb Cu Br
2 1 1 1
direct
0.0000 0.5000 0.0000
0.5000 0.0000 0.0000
0.0000 0.0000 0.5000
0.5000 0.5000 0.0000
0.5000 0.5000 0.5000
```

Computed properties:
DFT total energy = -2.7514 eV/atom
crystal system = tetragonal

***

No. 2
Here is a relaxed structure of Na2CuBrO from Alexandria. Energies are from PBE-GGA.

```
Na2CuBrO
1.0
4.9504 0.0000 0.0000
0.0000 4.9504 0.0000
0.0000 0.0000 3.6981
Na Cu Br O
2 1 1 1
direct
0.0000 0.5000 0.0000
0.5000 0.0000 0.0000
0.0000 0.0000 0.5000
0.5000 0.5000 0.5000
0.0000 0.0000 0.0000
```

Computed properties:
DFT total energy = -3.8015 eV/atom
crystal system = tetragonal